Computed, not measured: a geometry-optimized Pm4PuAs5 structure at the PBE level of DFT.

Results
- space group = I4/m, No. 87
- formation enthalpy at 0 K (eV per atom) = -1.42
- crystal system = tetragonal

The structure in POSCAR format:
```
Pm4PuAs5
1.0
-3.412 -1.580 -4.627
1.757 -6.455 -2.932
-5.939 -3.832 1.846
As Pm Pu
5 4 1
Cartesian
-0.440 -4.832 -1.874 As
-4.394 -3.893 -3.120 As
-3.205 -7.978 -2.602 As
-7.159 -7.039 -3.848 As
-1.710 -0.792 -2.320 As
-5.409 -6.275 -1.558 Pm
-2.190 -5.596 -4.164 Pm
-4.897 -8.720 -4.942 Pm
-2.702 -3.151 -0.780 Pm
-0.004 -0.002 -0.006 Pu
```

Computed, not measured: a geometry-optimized YSi2Sb structure at the PBE level of DFT.

Results
- space group = R-3m, No. 166
- raw formation energy (eV per atom) = 0.055
- crystal system = trigonal

The structure in POSCAR format:
```
YSi2Sb
1.0
7.719 0.021 0.013
6.753 3.739 0.013
6.753 1.755 3.302
Y Si Sb
1 2 1
Cartesian
5.307 1.379 0.832 Y
10.476 2.722 1.642 Si
0.137 0.036 0.021 Si
15.920 4.136 2.495 Sb
```